# Fe2HIrOs

Fe2HIrOs after structural relaxation (GGA-PBE, Alexandria).

Cell and atoms, written as POSCAR:
```
Fe2HIrOs
1.0
3.794 0.000 0.000
0.000 3.794 0.000
0.000 0.000 3.723
Fe H Ir Os
2 1 1 1
Direct
0.000 0.500 0.000
0.500 0.000 0.000
0.000 0.000 0.000
0.500 0.500 0.500
0.000 0.000 0.500
```

Calculated total energy: -7.952 eV per atom
Space group: P4/mmm, No. 123
E above lowest polymorph: 0 meV/atom

***

# Fe2HIrOs

Fe2HIrOs after structural relaxation (GGA-PBE, Alexandria).

Cell and atoms, written as POSCAR:
```
Fe2HIrOs
1.0
3.750 0.000 0.000
0.000 3.750 0.000
0.000 0.000 3.714
Fe H Ir Os
2 1 1 1
Direct
0.000 0.500 0.000
0.500 0.000 0.000
0.000 0.000 0.000
0.000 0.000 0.500
0.500 0.500 0.500
```

Calculated total energy: -7.915 eV per atom
Space group: P4/mmm, No. 123
E above lowest polymorph: 37 meV/atom

***

# FeHIr2Os

FeHIr2Os after structural relaxation (GGA-PBE, Alexandria).

Cell and atoms, written as POSCAR:
```
FeHIr2Os
1.0
3.853 0.000 0.000
0.000 3.853 0.000
0.000 0.000 3.809
Fe H Ir Os
1 1 2 1
Direct
0.000 0.000 0.000
0.000 0.000 0.500
0.000 0.500 0.500
0.500 0.000 0.500
0.500 0.500 0.000
```

Calculated total energy: -7.953 eV per atom
Space group: P4/mmm, No. 123

***

| no. | DOS(E_F) (states/eV/cell) |
| --- | --- |
| 1 | 4.36 |
| 2 | 5.30 |
| 3 | 5.27 |